A relaxed Li2Fe3CoO8 crystal, computed with PBE+U.

The structure in POSCAR format:
```
Li2Fe3CoO8
1.0
-1.188 4.915 0.749
-3.017 0.197 5.093
2.900 -0.070 5.054
O Co Li Fe
8 1 2 3
Direct
0.248 0.715 0.393 O
0.758 0.289 0.105 O
0.213 0.294 0.855 O
0.213 0.294 0.351 O
0.787 0.706 0.145 O
0.752 0.285 0.607 O
0.242 0.711 0.895 O
0.787 0.706 0.649 O
0.000 0.500 0.000 Co
0.000 0.000 0.500 Li
0.000 0.000 0.000 Li
0.000 0.500 0.500 Fe
0.500 0.500 0.750 Fe
0.500 0.500 0.250 Fe
```

Computed properties:
The calculation puts the distance to the lowest polymorph of the same formula at 0 meV/atom. The calculation puts the total energy at -6.0064 eV per atom. The value obtained for the magnetic moment is 11.00 μB per formula unit.